CrCd2F8 (PBE with a Hubbard U, optimized geometry); total moment = 0.179 μB per atom; raw total energy = -4.456 eV per atom
1.0
4.727 -3.644 0.000
4.727 3.644 0.000
-1.505 0.000 4.280
Cr Cd F
1 2 8
Direct
0.000 0.000 0.000
0.342 0.342 0.643
0.658 0.658 0.357
0.050 0.694 0.744
0.120 0.120 0.761
0.306 0.950 0.256
0.407 0.407 0.194
0.593 0.593 0.806
0.694 0.050 0.744
0.880 0.880 0.239
0.950 0.306 0.256